--- one ---
Entry from Alexandria: LiCu4Ni5 after structural relaxation (GGA-PBE).

extended XYZ file:
```
20
Lattice="-1.947 0.327 -3.771 -4.194 -5.208 1.713 -5.523 5.543 3.332" Properties=species:S:1:pos:R:3 pbc="T T T"
Ni -7.058 2.769 0.247
Cu -5.085 1.364 0.156
Cu -3.349 2.155 -1.647
Cu -7.266 2.164 2.697
Ni -8.505 0.972 0.838
Cu -6.729 -0.677 0.827
Ni -5.394 -2.775 1.375
Cu -4.270 -4.037 -0.363
Cu -1.720 -0.869 -1.404
Ni -8.017 -0.142 2.958
Ni -5.270 3.269 1.836
Ni -2.647 0.636 0.254
Ni -4.159 -0.141 -1.502
Li -4.949 0.182 2.348
Cu -3.457 -1.660 0.399
Ni -3.208 2.847 0.801
Cu -5.062 3.874 -0.614
Ni -3.597 -2.352 -2.049
Ni -5.606 -1.939 -0.911
Li -1.856 0.312 -3.596
```



--- two ---
Entry from Alexandria: LiCu4Ni5 after structural relaxation (GGA-PBE).

extended XYZ file:
```
10
Lattice="3.719 -0.015 1.233 1.833 5.724 0.757 0.056 -0.350 6.048" Properties=species:S:1:pos:R:3 pbc="T T T"
Li 0.930 -0.004 0.308
Ni 3.772 0.385 4.189
Ni 3.696 4.966 4.465
Cu 2.218 3.857 2.689
Cu 1.531 1.510 4.733
Ni 3.734 2.676 4.327
Cu 1.435 3.975 5.046
Ni 4.458 2.727 2.150
Cu 2.315 1.391 2.375
Ni 3.011 2.625 6.504
```



Most stable structure - one; separation to the second - 8 meV/atom.



--- one ---
Entry from Alexandria: Li2Cu5Ni2 after structural relaxation (GGA-PBE).

extended XYZ file:
```
9
Lattice="-1.594 -3.407 1.482 2.520 -0.506 -3.967 3.348 1.238 6.449" Properties=species:S:1:pos:R:3 pbc="T T T"
Li 2.021 -3.488 -0.328
Ni 0.456 -2.149 1.061
Cu 2.732 -1.351 5.347
Cu 1.541 -1.324 -1.384
Ni 3.817 -0.526 2.903
Cu 1.656 -1.791 3.182
Cu 2.618 -0.884 0.781
Cu 0.000 0.000 0.000
Li 2.253 0.813 4.291
```



--- two ---
Entry from Alexandria: Li2Cu5Ni2 after structural relaxation (GGA-PBE).

extended XYZ file:
```
18
Lattice="-4.208 0.137 5.479 1.739 -3.745 1.429 6.260 5.567 0.291" Properties=species:S:1:pos:R:3 pbc="T T T"
Ni 4.144 1.929 4.628
Ni 0.619 -0.712 1.997
Cu 1.995 1.338 5.643
Li 1.470 -3.165 1.208
Cu -1.928 -0.427 5.789
Cu 0.205 -0.004 4.306
Ni 2.635 3.828 4.761
Li 0.638 2.531 3.733
Cu -0.360 -2.326 5.585
Li -1.504 -1.224 3.233
Cu 1.246 1.807 1.104
Cu -0.483 1.641 6.112
Ni 0.849 -2.558 3.559
Cu 4.594 -0.368 1.349
Cu 3.036 3.148 2.441
Cu 5.168 3.573 0.957
Cu 5.340 1.727 2.591
Li 2.601 0.619 3.012
```



Most stable structure - one; separation to the second - 56 meV/atom.



--- one ---
Entry from Alexandria: LiCu4Ni after structural relaxation (GGA-PBE).

extended XYZ file:
```
12
Lattice="4.816 -0.790 0.000 -1.664 4.569 0.000 -1.576 -1.889 7.042" Properties=species:S:1:pos:R:3 pbc="T T T"
Cu 2.844 -1.555 6.583
Cu 2.014 0.731 3.062
Ni -2.036 2.482 5.282
Cu -1.270 3.443 3.062
Cu 2.846 -1.554 3.980
Cu -0.438 1.159 3.980
Cu 2.011 0.729 0.459
Li 1.204 -0.198 5.281
Cu -0.436 1.160 6.583
Cu -1.268 3.445 0.459
Ni 3.612 -0.593 1.760
Li 0.372 2.087 1.761
```



--- two ---
Entry from Alexandria: LiCu4Ni after structural relaxation (GGA-PBE).

extended XYZ file:
```
6
Lattice="0.660 -4.592 1.104 -1.636 -1.717 4.137 -3.707 -2.999 0.038" Properties=species:S:1:pos:R:3 pbc="T T T"
Cu -2.109 -4.959 1.229
Li -1.171 -2.327 1.320
Ni 0.000 0.000 0.000
Cu -2.927 -5.819 3.300
Cu -3.258 -3.520 2.747
Cu -1.072 -4.317 3.281
```



Most stable structure - one; separation to the second - 12 meV/atom.